! Tl2Te2Au | Alexandria | PBE | optimized geometry; values from VASP
! Uncorrected formation energy in eV per atom: -0.09
&SYSTEM
  ibrav = 0, nat = 10, ntyp = 3
/
ATOMIC_SPECIES
Au 196.97 Au.upf
Te 127.60 Te.upf
Tl 204.38 Tl.upf
CELL_PARAMETERS angstrom
7.534 0.000 0.000
0.000 7.534 0.000
0.000 0.000 5.640
ATOMIC_POSITIONS crystal
Au 0.000 0.000 0.000
Au 0.500 0.500 0.000
Te 0.343 0.843 0.000
Te 0.843 0.657 0.000
Te 0.157 0.343 0.000
Te 0.657 0.157 0.000
Tl 0.664 0.836 0.500
Tl 0.836 0.336 0.500
Tl 0.164 0.664 0.500
Tl 0.336 0.164 0.500